# 1
AlBiTeO5 | PBE | relaxed

energy: -6.00 eV per atom

a b c (Å): 5.778 5.778 7.569
angles (deg): 104.78 104.78 98.65
Element x y z (fractional)
1 Al 0.000 0.500 0.000
2 Al 0.500 0.000 0.500
3 Bi 0.033 0.967 0.750
4 Bi 0.967 0.033 0.250
5 Te 0.472 0.528 0.750
6 Te 0.528 0.472 0.250
7 O 0.164 0.252 0.062
8 O 0.212 0.788 0.250
9 O 0.246 0.603 0.889
10 O 0.252 0.164 0.562
11 O 0.397 0.754 0.611
12 O 0.603 0.246 0.389
13 O 0.748 0.836 0.438
14 O 0.754 0.397 0.111
15 O 0.788 0.212 0.750
16 O 0.836 0.748 0.938



# 2
Sm5ThS7 | PBE | relaxed

energy: -6.61 eV per atom

a b c (Å): 6.928 6.928 23.419
angles (deg): 91.70 91.70 33.10
Element x y z (fractional)
1 Sm 0.000 0.000 0.000
2 Sm 0.001 0.001 0.500
3 Sm 0.272 0.272 0.930
4 Sm 0.282 0.282 0.571
5 Sm 0.449 0.449 0.354
6 Sm 0.457 0.457 0.145
7 Sm 0.543 0.543 0.855
8 Sm 0.553 0.553 0.647
9 Sm 0.720 0.720 0.429
10 Sm 0.728 0.728 0.070
11 Th 0.210 0.210 0.239
12 Th 0.791 0.791 0.761
13 S 0.087 0.087 0.388
14 S 0.101 0.101 0.117
15 S 0.178 0.178 0.820
16 S 0.197 0.197 0.683
17 S 0.364 0.364 0.461
18 S 0.366 0.366 0.038
19 S 0.441 0.441 0.749
20 S 0.560 0.560 0.251
21 S 0.634 0.634 0.963
22 S 0.638 0.638 0.539
23 S 0.805 0.805 0.318
24 S 0.822 0.822 0.180
25 S 0.899 0.899 0.883
26 S 0.915 0.915 0.612



# 3
FeW2SCl | PBE | relaxed

energy: -6.85 eV per atom

a b c (Å): 4.539 4.539 4.095
angles (deg): 90.00 90.00 90.00
Element x y z (fractional)
1 Fe 0.000 0.000 0.000
2 W 0.000 0.500 0.500
3 W 0.500 0.000 0.500
4 S 0.000 0.000 0.500
5 Cl 0.500 0.500 0.000



# 4
SiAuO2 | PBE | relaxed

energy: -6.14 eV per atom

a b c (Å): 5.338 5.338 5.338
angles (deg): 60.00 60.00 60.00
Element x y z (fractional)
1 Si 0.125 0.125 0.125
2 Si 0.875 0.875 0.875
3 Au 0.375 0.375 0.375
4 Au 0.625 0.625 0.625
5 O 0.000 0.000 0.000
6 O 0.000 0.000 0.500
7 O 0.000 0.500 0.000
8 O 0.500 0.000 0.000



# 5
BaLiMo2 | PBE | relaxed

energy of formation: 1.5971 eV/atom

a b c (Å): 6.748 6.748 6.748
angles (deg): 90.00 90.00 90.00
Element x y z (fractional)
1 Ba 0.000 0.000 0.000
2 Ba 0.000 0.500 0.500
3 Ba 0.500 0.000 0.500
4 Ba 0.500 0.500 0.000
5 Li 0.000 0.000 0.500
6 Li 0.000 0.500 0.000
7 Li 0.500 0.000 0.000
8 Li 0.500 0.500 0.500
9 Mo 0.250 0.250 0.250
10 Mo 0.250 0.250 0.750
11 Mo 0.250 0.750 0.250
12 Mo 0.250 0.750 0.750
13 Mo 0.750 0.250 0.250
14 Mo 0.750 0.250 0.750
15 Mo 0.750 0.750 0.250
16 Mo 0.750 0.750 0.750



# 6
KGaI2 | PBE | relaxed

energy: -2.51 eV per atom

a b c (Å): 5.333 5.333 29.365
angles (deg): 90.00 90.00 120.00
Element x y z (fractional)
1 K 0.000 0.000 0.000
2 K 0.333 0.667 0.667
3 K 0.667 0.333 0.333
4 Ga 0.000 0.000 0.500
5 Ga 0.333 0.667 0.167
6 Ga 0.667 0.333 0.833
7 I 0.000 0.000 0.397
8 I 0.000 0.000 0.603
9 I 0.333 0.667 0.064
10 I 0.333 0.667 0.269
11 I 0.667 0.333 0.731
12 I 0.667 0.333 0.936



# 7
CaBeFe2 | PBE | relaxed

energy of formation: 0.4919 eV/atom

a b c (Å): 2.678 4.768 9.104
angles (deg): 90.00 90.00 90.00
Element x y z (fractional)
1 Ca 0.000 0.000 0.000
2 Ca 0.500 0.500 0.500
3 Be 0.000 0.000 0.500
4 Be 0.500 0.500 0.000
5 Fe 0.000 0.500 0.203
6 Fe 0.000 0.500 0.797
7 Fe 0.500 0.000 0.297
8 Fe 0.500 0.000 0.703



# 8
Tb4Tm4Mg | PBE | relaxed

energy of formation: 0.0247 eV/atom

a b c (Å): 6.068 9.286 10.460
angles (deg): 78.58 89.58 70.98
Element x y z (fractional)
1 Tb 0.085 0.168 0.471
2 Tb 0.251 0.501 0.419
3 Tb 0.411 0.838 0.028
4 Tb 0.413 0.832 0.696
5 Tb 0.587 0.168 0.304
6 Tb 0.589 0.162 0.972
7 Tb 0.749 0.499 0.581
8 Tb 0.915 0.832 0.529
9 Tm 0.085 0.164 0.805
10 Tm 0.086 0.167 0.136
11 Tm 0.246 0.498 0.757
12 Tm 0.418 0.833 0.359
13 Tm 0.582 0.167 0.641
14 Tm 0.754 0.502 0.243
15 Tm 0.914 0.833 0.864
16 Tm 0.915 0.836 0.195
17 Mg 0.252 0.502 0.082
18 Mg 0.748 0.498 0.918



# 9
Cd2Pb2Cl | PBE | relaxed

energy: -2.30 eV per atom

a b c (Å): 8.705 8.705 3.726
angles (deg): 90.00 90.00 90.00
Element x y z (fractional)
1 Cd 0.120 0.380 0.000
2 Cd 0.380 0.880 0.000
3 Cd 0.620 0.120 0.000
4 Cd 0.880 0.620 0.000
5 Pb 0.185 0.685 0.500
6 Pb 0.315 0.185 0.500
7 Pb 0.685 0.815 0.500
8 Pb 0.815 0.315 0.500
9 Cl 0.000 0.000 0.000
10 Cl 0.500 0.500 0.000



# 10
Tc2TeIr | PBE | relaxed

energy: -7.82 eV per atom

a b c (Å): 4.016 4.016 7.901
angles (deg): 90.00 90.00 90.00
Element x y z (fractional)
1 Tc 0.000 0.000 0.000
2 Tc 0.000 0.500 0.250
3 Tc 0.500 0.000 0.750
4 Tc 0.500 0.500 0.500
5 Te 0.000 0.500 0.750
6 Te 0.500 0.000 0.250
7 Ir 0.000 0.000 0.500
8 Ir 0.500 0.500 0.000



# 11
HoPaP2 | PBE | relaxed

energy of formation: -1.4555 eV/atom

a b c (Å): 3.973 3.973 19.423
angles (deg): 90.00 90.00 120.00
Element x y z (fractional)
1 Ho 0.000 0.000 0.000
2 Ho 0.333 0.667 0.667
3 Ho 0.667 0.333 0.333
4 Pa 0.000 0.000 0.500
5 Pa 0.333 0.667 0.167
6 Pa 0.667 0.333 0.833
7 P 0.000 0.000 0.249
8 P 0.000 0.000 0.751
9 P 0.333 0.667 0.417
10 P 0.333 0.667 0.916
11 P 0.667 0.333 0.084
12 P 0.667 0.333 0.583



# 12
Li2PBrO3 | PBE | relaxed

energy: -5.49 eV per atom

a b c (Å): 7.731 7.731 7.731
angles (deg): 42.78 42.78 42.78
Element x y z (fractional)
1 Li 0.000 0.000 0.000
2 Li 0.000 0.000 0.500
3 Li 0.000 0.500 0.000
4 Li 0.500 0.000 0.000
5 P 0.425 0.425 0.425
6 P 0.575 0.575 0.575
7 Br 0.316 0.316 0.316
8 Br 0.684 0.684 0.684
9 O 0.252 0.711 0.711
10 O 0.289 0.289 0.748
11 O 0.289 0.748 0.289
12 O 0.711 0.252 0.711
13 O 0.711 0.711 0.252
14 O 0.748 0.289 0.289



# 13
AlZnTe2 | PBE | relaxed

energy: -2.66 eV per atom

a b c (Å): 5.168 5.168 3.516
angles (deg): 90.00 90.00 90.00
Element x y z (fractional)
1 Al 0.000 0.000 0.000
2 Zn 0.500 0.500 0.000
3 Te 0.000 0.500 0.500
4 Te 0.500 0.000 0.500



# 14
K6Ag7 | PBE | relaxed

energy of formation: 0.0312 eV/atom

a b c (Å): 14.862 14.862 14.862
angles (deg): 22.66 22.66 22.66
Element x y z (fractional)
1 K 0.065 0.065 0.065
2 K 0.152 0.152 0.152
3 K 0.302 0.302 0.302
4 K 0.698 0.698 0.698
5 K 0.848 0.848 0.848
6 K 0.935 0.935 0.935
7 Ag 0.110 0.608 0.608
8 Ag 0.392 0.392 0.890
9 Ag 0.392 0.890 0.392
10 Ag 0.500 0.500 0.500
11 Ag 0.608 0.110 0.608
12 Ag 0.608 0.608 0.110
13 Ag 0.890 0.392 0.392



# 15
Pr2DyEr9 | PBE | relaxed

energy of formation: 0.0264 eV/atom

a b c (Å): 5.014 5.014 15.019
angles (deg): 90.00 90.00 90.00
Element x y z (fractional)
1 Pr 0.000 0.000 0.167
2 Pr 0.000 0.000 0.833
3 Dy 0.000 0.000 0.500
4 Er 0.000 0.500 0.000
5 Er 0.000 0.500 0.336
6 Er 0.000 0.500 0.664
7 Er 0.500 0.000 0.000
8 Er 0.500 0.000 0.336
9 Er 0.500 0.000 0.664
10 Er 0.500 0.500 0.168
11 Er 0.500 0.500 0.500
12 Er 0.500 0.500 0.832



# 16
BMoSCl2 | PBE | relaxed

energy: -4.23 eV per atom

a b c (Å): 4.209 4.209 4.718
angles (deg): 90.00 90.00 90.00
Element x y z (fractional)
1 B 0.000 0.000 0.000
2 Mo 0.500 0.500 0.500
3 S 0.000 0.000 0.500
4 Cl 0.000 0.500 0.000
5 Cl 0.500 0.000 0.000



# 17
ZrHgNO2 | PBE | relaxed

energy: -5.01 eV per atom

a b c (Å): 4.102 4.102 4.244
angles (deg): 90.00 90.00 90.00
Element x y z (fractional)
1 Zr 0.000 0.000 0.000
2 Hg 0.500 0.500 0.500
3 N 0.500 0.500 0.000
4 O 0.000 0.500 0.500
5 O 0.500 0.000 0.500



# 18
ThRh3 | PBE | relaxed

energy of formation: -0.7104 eV/atom

a b c (Å): 4.133 4.133 4.133
angles (deg): 90.00 90.00 90.00
Element x y z (fractional)
1 Th 0.000 0.000 0.000
2 Rh 0.000 0.500 0.500
3 Rh 0.500 0.000 0.500
4 Rh 0.500 0.500 0.000



# 19
Pm3Mg2Cd4 | PBE | relaxed

energy of formation: -0.2820 eV/atom

a b c (Å): 6.147 6.147 9.502
angles (deg): 118.59 118.59 49.25
Element x y z (fractional)
1 Pm 0.000 0.000 0.000
2 Pm 0.335 0.335 0.332
3 Pm 0.665 0.665 0.668
4 Mg 0.386 0.386 0.719
5 Mg 0.614 0.614 0.281
6 Cd 0.056 0.056 0.388
7 Cd 0.276 0.276 0.940
8 Cd 0.724 0.724 0.060
9 Cd 0.944 0.944 0.612



Size of the total moment
In order: 0.0 0.0 2.2 0.0 0.0 0.0 4.4 0.0 0.0 0.0 0.0 0.0 0.0 0.0 0.0 4.0 0.0 0.0 0.0
Unit: μB per formula unit